# UTlWO6

Crystalline UTlWO6 at its relaxed geometry (GGA+U, the Alexandria database).

POSCAR file:
```
UTlWO6
1.0
-3.743 3.919 5.504
3.743 -3.919 5.504
3.743 3.919 -5.504
U Tl W O
2 2 2 12
Cartesian
0.000 0.000 0.000 U
0.000 3.919 0.000 U
3.743 1.959 1.859 Tl
0.000 1.959 3.645 Tl
1.871 1.959 -2.752 W
1.871 -1.959 2.752 W
3.743 1.959 -2.214 O
1.491 -0.571 1.445 O
5.995 -0.571 1.445 O
1.491 3.348 -1.445 O
2.252 -0.571 4.059 O
0.000 1.959 0.882 O
3.743 1.959 4.622 O
1.491 4.489 1.445 O
2.252 0.571 6.949 O
-2.252 4.489 4.059 O
2.252 4.489 4.059 O
0.000 1.959 7.718 O
```

Output
Symmetry = Imma
Density of states at the Fermi level = 5.56 states/eV per cell
Uncorrected energy = -142.51 eV per cell
Mass density = 7.43 g cm⁻³